A plane-wave DFT calculation with PBE was carried out for a geometry-optimized AcGd2Cd structure.

Unit cell a=5.651 b=5.651 c=5.651 alpha=60.00 beta=60.00 gamma=60.00
Last column: magnetic moment on the atom in μB.
Positions (direct):
Gd  0.250  0.250  0.250  7.30
Gd  0.750  0.750  0.750  7.30
Cd  0.500  0.500  0.500  -0.01
Ac  0.000  0.000  0.000  0.20

Output
For the formation energy, the calculation gives 0.03 eV per atom. The distance to the lowest polymorph of the same formula is 0.178 eV per atom.